Density functional theory data (PBE) for an optimized crystal structure of TaTi8Nb2.

a b c (Å): 7.3145 7.3145 6.8896
angles (deg): 115.68 115.68 35.88
Closest atoms and distances in Å follow each position.
Fractional coordinates of all 11 atoms:
Ta 0.0000 0.0000 0.0000  12 Ti 2.76-3.03
Ti 0.1002 0.1002 0.4496  3 Nb 2.74-2.97, 1 Ta 2.76, 3 Ti 2.79-2.81
Ti 0.1728 0.1728 0.9000  3 Nb 2.76-3.04, 1 Ta 2.79, 6 Ti 2.79-2.98
Ti 0.3503 0.3503 0.8074  3 Ti 2.75-2.82, 3 Nb 2.82-2.87, 2 Ta 2.94
Ti 0.4706 0.4706 0.2632  7 Ti 2.75-2.98, 1 Nb 2.88, 2 Ta 3.03
Ti 0.5294 0.5294 0.7368  7 Ti 2.75-2.98, 1 Nb 2.88, 2 Ta 3.03
Ti 0.6497 0.6497 0.1926  3 Ti 2.75-2.82, 3 Nb 2.82-2.87, 2 Ta 2.94
Ti 0.8272 0.8272 0.1000  3 Nb 2.76-3.04, 1 Ta 2.79, 6 Ti 2.79-2.98
Ti 0.8998 0.8998 0.5504  3 Nb 2.74-2.97, 1 Ta 2.76, 3 Ti 2.79-2.81
Nb 0.2862 0.2862 0.3487  10 Ti 2.74-3.04
Nb 0.7138 0.7138 0.6513  10 Ti 2.74-3.04

Results
space-group type: No. 12
formation energy from the elements: 60 meV per atom
total magnetic moment: 0.0 μB/cell
excess energy over the best structure of this formula in the dataset: 0.000 eV per atom

---

Density functional theory data (PBE) for an optimized crystal structure of Ta5Ti2Nb2.

a b c (Å): 7.4085 7.4085 8.3261
angles (deg): 101.40 101.40 21.71
Closest atoms and distances in Å follow each position.
Fractional coordinates of all 9 atoms:
Ta 0.0000 0.0000 0.0000  2 Nb 2.73, 6 Ta 2.79-3.04
Ta 0.1614 0.1614 0.5385  7 Ta 2.79-3.11, 1 Nb 2.91, 4 Ti 3.01-3.06
Ta 0.3371 0.3371 0.7765  1 Ti 2.75, 7 Ta 2.79-3.04, 1 Nb 2.85
Ta 0.6629 0.6629 0.2235  1 Ti 2.75, 7 Ta 2.79-3.04, 1 Nb 2.85
Ta 0.8386 0.8386 0.4615  7 Ta 2.79-3.11, 1 Nb 2.91, 4 Ti 3.01-3.06
Ti 0.4958 0.4958 0.3307  5 Ta 2.75-3.06, 3 Ti 2.79-2.80, 2 Nb 3.00
Ti 0.5042 0.5042 0.6693  5 Ta 2.75-3.06, 3 Ti 2.79-2.80, 2 Nb 3.00
Nb 0.1644 0.1644 0.8885  3 Ta 2.73-2.91, 2 Nb 2.79, 2 Ti 3.00
Nb 0.8356 0.8356 0.1115  3 Ta 2.73-2.91, 2 Nb 2.79, 2 Ti 3.00

Results
space-group type: No. 12
formation energy from the elements: 177 meV per atom
total magnetic moment: 0.0 μB/cell

---

Density functional theory data (PBE) for an optimized crystal structure of TaTi2Nb4.

a b c (Å): 6.3546 6.3546 4.6357
angles (deg): 90.00 90.00 135.55
Closest atoms and distances in Å follow each position.
Fractional coordinates of all 7 atoms:
Ta 0.0000 0.0000 0.0000  8 Nb 3.13-3.17
Ti 0.4061 0.5939 0.5000  1 Ti 2.21
Ti 0.5939 0.4061 0.5000  1 Ti 2.21
Nb 0.1784 0.8216 0.5000  3 Ti 2.60-2.68, 2 Nb 2.89
Nb 0.3248 0.6752 0.0000  2 Ti 2.51
Nb 0.6752 0.3248 0.0000  2 Ti 2.51
Nb 0.8216 0.1784 0.5000  3 Ti 2.60-2.68, 2 Nb 2.89

Results
space-group type: No. 65
formation energy from the elements: 602 meV per atom
total magnetic moment: 0.0 μB/cell
excess energy over the best structure of this formula in the dataset: 0.497 eV per atom

---

Density functional theory data (PBE) for an optimized crystal structure of Ta2Ti3Nb3.

a b c (Å): 9.6731 9.6731 9.6731
angles (deg): 160.38 152.18 34.28
Closest atoms and distances in Å follow each position.
Fractional coordinates of all 8 atoms:
Ta 0.2472 0.2472 0.0000  2 Nb 2.83, 4 Ta 2.85, 2 Ti 2.86
Ta 0.7528 0.7528 0.0000  2 Nb 2.83, 4 Ta 2.85, 2 Ti 2.86
Ti 0.0000 0.0000 0.0000  8 Nb 2.80-2.85
Ti 0.3733 0.8733 0.5000  6 Nb 2.85-2.86, 2 Ta 2.86
Ti 0.6267 0.1267 0.5000  6 Nb 2.85-2.86, 2 Ta 2.86
Nb 0.1227 0.6227 0.5000  6 Ti 2.80-2.85, 2 Ta 2.83
Nb 0.5000 0.5000 0.0000  8 Ti 2.85-2.86
Nb 0.8773 0.3773 0.5000  6 Ti 2.80-2.85, 2 Ta 2.83

Results
space-group type: No. 71
formation energy from the elements: 53 meV per atom
total magnetic moment: 0.0 μB/cell

---

Density functional theory data (PBE) for an optimized crystal structure of TaTi2Nb.

a b c (Å): 9.8018 9.8018 9.8018
angles (deg): 17.24 17.24 17.24
Closest atoms and distances in Å follow each position.
Fractional coordinates of all 4 atoms:
Ta 0.0000 0.0000 0.0000  6 Ti 2.94, 6 Ta 2.94
Ti 0.5839 0.5839 0.5839  3 Ta 2.94, 6 Ti 2.94, 3 Nb 2.96
Ti 0.7495 0.7495 0.7495  6 Ti 2.94, 3 Ta 2.94, 3 Nb 2.96
Nb 0.1667 0.1667 0.1667  6 Nb 2.94, 6 Ti 2.96

Results
space-group type: No. 160
formation energy from the elements: 152 meV per atom
total magnetic moment: 0.0 μB/cell

---

Density functional theory data (PBE) for an optimized crystal structure of TaTi5Nb2.

a b c (Å): 5.5520 5.5520 6.4694
angles (deg): 123.01 123.01 73.55
Closest atoms and distances in Å follow each position.
Fractional coordinates of all 8 atoms:
Ta 0.0000 0.0000 0.0000  9 Ti 2.80-2.95, 1 Nb 2.97
Ti 0.0044 0.5005 0.5027  4 Nb 2.79-2.91, 4 Ti 2.80-3.00, 2 Ta 2.89-2.90
Ti 0.0464 0.5397 0.0810  4 Nb 2.79-2.90, 2 Ta 2.80-2.81, 4 Ti 2.87-3.00
Ti 0.5005 0.0044 0.5027  4 Nb 2.79-2.91, 4 Ti 2.80-3.00, 2 Ta 2.89-2.90
Ti 0.5397 0.0464 0.0810  4 Nb 2.79-2.90, 2 Ta 2.80-2.81, 4 Ti 2.87-3.00
Ti 0.5485 0.5485 0.5918  8 Ti 2.80-2.93, 1 Nb 2.94, 1 Ta 2.95
Nb 0.0367 0.0367 0.5764  8 Ti 2.79-2.90, 1 Ta 2.97, 1 Nb 3.09
Nb 0.5104 0.5104 0.0087  9 Ti 2.79-2.94, 1 Nb 3.09

Results
space-group type: No. 8
formation energy from the elements: 58 meV per atom
total magnetic moment: 0.0 μB/cell

---

Density functional theory data (PBE) for an optimized crystal structure of Ta3Ti2Nb7.

a b c (Å): 4.7868 4.7207 10.3197
angles (deg): 90.00 94.01 90.00
Closest atoms and distances in Å follow each position.
Fractional coordinates of all 12 atoms:
Ta 0.0000 0.0000 0.0000  8 Nb 2.79-2.96, 2 Ti 3.05
Ta 0.4943 0.5000 0.3323  5 Nb 2.78-3.01, 2 Ti 2.94
Ta 0.5057 0.5000 0.6677  5 Nb 2.78-3.01, 2 Ti 2.94
Ti 0.1312 0.0000 0.2932  5 Nb 2.52-2.80
Ti 0.8688 0.0000 0.7068  5 Nb 2.52-2.80
Nb 0.0122 0.5000 0.1613  2 Ti 2.76, 3 Ta 2.81-2.89, 2 Nb 2.87-2.96
Nb 0.2893 0.0000 0.5595  1 Nb 2.43, 1 Ti 2.61
Nb 0.4557 0.0000 0.8453  1 Ti 2.52, 1 Ta 2.79
Nb 0.5000 0.5000 0.0000  8 Nb 2.85-2.96
Nb 0.5443 0.0000 0.1547  1 Ti 2.52, 1 Ta 2.79
Nb 0.7107 0.0000 0.4405  1 Nb 2.43, 1 Ti 2.61
Nb 0.9878 0.5000 0.8387  2 Ti 2.76, 3 Ta 2.81-2.89, 2 Nb 2.87-2.96

Results
space-group type: No. 10
formation energy from the elements: 387 meV per atom
total magnetic moment: 0.0 μB/cell

---

Density functional theory data (PBE) for an optimized crystal structure of TaTi3Nb.

a b c (Å): 4.6684 4.6684 4.6684
angles (deg): 90.00 90.00 90.00
Closest atoms and distances in Å follow each position.
Fractional coordinates of all 5 atoms:
Ta 0.0000 0.0000 0.0000  12 Ti 3.30
Ti 0.0000 0.5000 0.5000  2 Nb 2.33
Ti 0.5000 0.0000 0.5000  2 Nb 2.33
Ti 0.5000 0.5000 0.0000  2 Nb 2.33
Nb 0.5000 0.5000 0.5000  6 Ti 2.33

Results
space-group type: No. 221
formation energy from the elements: 1120 meV per atom
total magnetic moment: 0.0 μB/cell
excess energy over the best structure of this formula in the dataset: 1.075 eV per atom